(1)
Crystalline Sr2Sn2Pd at its relaxed geometry, computed with GGA-PBE.

## Properties
Space-group type: P4/mbm, No. 127
E_form: -0.601 eV/atom
Offset from the most stable computed form: 0.1115 eV per atom
Magnetic moment: 0.00 μB per cell

a b c (Å): 7.4485 7.4485 5.2078
angles (deg): 90.00 90.00 90.00
Last column: nearest neighbours and their distance in Å.
Positions (direct):
Sn1 0.6442 0.1442 0.0000  2 Pd 2.86, 1 Sn 3.04
Sn2 0.1442 0.3558 0.0000  2 Pd 2.86, 1 Sn 3.04
Sn3 0.3558 0.8558 0.0000  2 Pd 2.86, 1 Sn 3.04
Sn4 0.8558 0.6442 0.0000  2 Pd 2.86, 1 Sn 3.04
Sr1 0.6666 0.8334 0.5000  6 Sn 3.28-3.49, 1 Sr 3.51
Sr2 0.1666 0.6666 0.5000  6 Sn 3.28-3.49, 1 Sr 3.51
Sr3 0.3334 0.1666 0.5000  6 Sn 3.28-3.49, 1 Sr 3.51
Sr4 0.8334 0.3334 0.5000  6 Sn 3.28-3.49, 1 Sr 3.51
Pd1 0.5000 0.5000 0.0000  4 Sn 2.86
Pd2 0.0000 0.0000 0.0000  4 Sn 2.86

(2)
Crystalline SrLaMn2 at its relaxed geometry, computed with GGA-PBE.

## Properties
Space-group type: P4/mmm, No. 123
E_form: 0.430 eV/atom
Offset from the most stable computed form: 0.1662 eV per atom
Magnetic moment: 6.71 μB per cell

a b c (Å): 3.8360 3.8307 7.5084
angles (deg): 90.00 90.00 90.00
Last column: nearest neighbours and their distance in Å.
Positions (direct):
Mn1 0.0000 0.0000 0.9489  1 Mn 2.99, 4 La 3.09
Mn2 0.0000 0.0000 0.5511  1 Mn 2.99, 4 La 3.09
Sr1 0.5000 0.5000 0.2500  8 Mn 3.53, 2 La 3.75, 4 Sr 3.83-3.84
La1 0.5000 0.5000 0.7500  8 Mn 3.09

(3)
Crystalline MnTc2B at its relaxed geometry, computed with GGA-PBE.

## Properties
Space-group type: Fmmm, No. 69
E_form: 0.138 eV/atom
Magnetic moment: 2.96 μB per cell

a b c (Å): 4.9356 4.9356 5.0815
angles (deg): 115.03 115.03 97.41
Last column: nearest neighbours and their distance in Å.
Positions (direct):
B1 0.7621 0.7621 0.5243  2 Mn 2.30, 6 Tc 2.38-2.47
B2 0.2379 0.2379 0.4757  2 Mn 2.30, 6 Tc 2.38-2.47
Tc1 0.3137 0.3137 0.0000  2 B 2.38, 1 Tc 2.43, 4 Mn 2.45-2.65
Tc2 0.2500 0.7500 0.5000  4 B 2.47, 4 Mn 2.59, 4 Tc 2.72
Tc3 0.6863 0.6863 0.0000  2 B 2.38, 1 Tc 2.43, 4 Mn 2.45-2.65
Tc4 0.7500 0.2500 0.5000  4 B 2.47, 4 Mn 2.59, 4 Tc 2.72
Mn1 0.8170 0.1830 0.0000  2 B 2.30, 2 Tc 2.45
Mn2 0.1830 0.8170 0.0000  2 B 2.30, 2 Tc 2.45

(4)
Crystalline ZrNb2Sn at its relaxed geometry, computed with GGA-PBE.

## Properties
Space-group type: P4/mmm, No. 123
E_form: -0.194 eV/atom
Magnetic moment: 0.00 μB per cell

a b c (Å): 4.6866 4.1322 4.1322
angles (deg): 90.00 90.00 90.00
Last column: nearest neighbours and their distance in Å.
Positions (direct):
Nb1 0.0000 0.0000 0.5000  4 Nb 2.92, 4 Zr 3.12, 4 Sn 3.12
Nb2 0.0000 0.5000 0.0000  4 Nb 2.92, 4 Zr 3.12, 4 Sn 3.12
Zr1 0.5000 0.5000 0.5000  4 Sn 2.92, 8 Nb 3.12
Sn1 0.5000 0.0000 0.0000  4 Zr 2.92, 8 Nb 3.12

(5)
Crystalline LiV2I at its relaxed geometry, computed with GGA-PBE.

## Properties
Space-group type: Fm-3m, No. 225
Uncorrected formation energy: 0.7904 eV/atom
Offset from the most stable computed form: 0.2312 eV per atom
Magnetic moment: 3.93 μB per cell

a b c (Å): 4.5060 4.5060 4.5060
angles (deg): 60.00 60.00 60.00
Last column: nearest neighbours and their distance in Å.
Positions (direct):
V1 0.7500 0.7500 0.7500  4 Li 2.76, 4 I 2.76
V2 0.2500 0.2500 0.2500  4 Li 2.76, 4 I 2.76
Li1 0.0000 0.0000 0.0000  8 V 2.76
I1 0.5000 0.5000 0.5000  8 V 2.76

(6)
Crystalline SrTa2Ag at its relaxed geometry, computed with GGA-PBE.

## Properties
Space-group type: I4_1/amd, No. 141
E_form: 1.192 eV/atom
Offset from the most stable computed form: 0.7700 eV per atom
Magnetic moment: 0.00 μB per cell

a b c (Å): 4.8879 4.8879 10.7053
angles (deg): 76.80 76.80 90.00
Last column: nearest neighbours and their distance in Å.
Positions (direct):
Ta1 0.8750 0.6250 0.2500  2 Ta 2.44
Ta2 0.8750 0.1250 0.7500  2 Ta 2.44
Ta3 0.8750 0.1250 0.2500  2 Ta 2.44
Ta4 0.3750 0.1250 0.7500  2 Ta 2.44
Ag1 0.7500 0.2500 0.5000  4 Ta 2.81
Ag2 0.0000 0.0000 0.0000  4 Ta 2.81
Sr1 0.2500 0.7500 0.5000  4 Ag 3.46, 8 Ta 3.73
Sr2 0.5000 0.5000 0.0000  4 Ag 3.46, 8 Ta 3.73

(7)
Crystalline Zr3SeO at its relaxed geometry, computed with GGA-PBE.

## Properties
Space-group type: Pm-3m, No. 221
Uncorrected formation energy: -1.0212 eV/atom
Offset from the most stable computed form: 0.0000 eV per atom
Magnetic moment: 0.00 μB per cell

a b c (Å): 4.4540 4.4540 4.4540
angles (deg): 90.00 90.00 90.00
Last column: nearest neighbours and their distance in Å.
Positions (direct):
O1 0.0000 0.0000 0.0000  6 Zr 2.23
Zr1 0.0000 0.5000 0.0000  2 O 2.23
Zr2 0.0000 0.0000 0.5000  2 O 2.23
Zr3 0.5000 0.0000 0.0000  2 O 2.23
Se1 0.5000 0.5000 0.5000  12 Zr 3.15

(8)
Crystalline TmBiPdPt at its relaxed geometry, computed with GGA-PBE.

## Properties
Space-group type: F-43m, No. 216
E_form: -0.754 eV/atom
Magnetic moment: 0.00 μB per cell

a b c (Å): 4.8868 4.8868 4.8868
angles (deg): 60.00 60.00 60.00
Last column: nearest neighbours and their distance in Å.
Positions (direct):
Tm1 0.0000 0.0000 0.0000  4 Pt 2.99, 4 Pd 2.99
Pd1 0.2500 0.2500 0.2500  4 Bi 2.99, 4 Tm 2.99
Pt1 0.7500 0.7500 0.7500  4 Bi 2.99, 4 Tm 2.99
Bi1 0.5000 0.5000 0.5000  4 Pt 2.99, 4 Pd 2.99